A geometry-optimized BaCoOF2 structure. Source: Alexandria, functional PBE+U.

Cell: 4.9729 4.9729 4.8619 Å, 90.00 90.00 90.00°
Last column: nearest neighbours and their distance in Å.
Fractional coordinates of all 5 atoms:
O 0.0000 0.0000 0.5000  2 Ba 2.43
Co 0.5000 0.5000 0.5000  8 F 3.48, 4 O 3.52
F 0.0000 0.5000 0.0000  2 Ba 2.49
F 0.5000 0.0000 0.0000  2 Ba 2.49
Ba 0.0000 0.0000 0.0000  2 O 2.43, 4 F 2.49

Computed properties:
- Energy relative to the lowest polymorph listed for this composition: 650 kJ/mol of formula units
- Magnetization: 2.46 μB per formula unit